Entry from the Alexandria database: crystalline La6Cd2CoRh at its relaxed geometry (PBE).

a = 7.7269 Å, b = 7.7273 Å, c = 7.5524 Å
α = 118.97°, β = 119.03°, γ = 93.03°
Positions (direct):
La 0.8037 0.8069 0.1243
La 0.6827 0.6820 0.4870
La 0.1960 0.1938 0.8752
La 0.7495 0.2531 0.9986
La 0.3168 0.3184 0.5122
La 0.2504 0.7478 0.0010
Cd 0.7509 0.2505 0.5013
Cd 0.2495 0.7508 0.4993
Co 0.4999 0.5004 0.9996
Rh 0.9996 0.0002 0.9995

DFT total energy	-48.80	eV per formula unit
formation energy	-284	kJ/mol of formula units
density of states at the Fermi level	1.10	states/eV per atom